Computed, not measured: crystalline K3Cr2CdO8 at its relaxed geometry at the PBE with a Hubbard U level of DFT.

Structure (extended XYZ):
```
14
Lattice="5.917 0.000 0.000 -2.959 5.124 0.000 0.000 0.000 7.642" Properties=species:S:1:pos:R:3 pbc="T T T"
K 0.000 0.000 0.000
K 0.000 3.416 5.165
K 2.959 1.708 2.477
Cr 0.000 3.416 1.795
Cr 2.959 1.708 5.847
Cd 0.000 0.000 3.821
O 0.000 1.811 2.391
O -1.390 4.219 2.391
O 0.000 3.416 0.143
O 1.569 0.906 5.251
O 1.390 4.219 2.391
O 2.959 1.708 7.499
O 4.349 0.906 5.251
O 2.959 3.313 5.251
```

Fermi-level density of states = 0.520 states/eV per atom
VASP energy = -79.931 eV for the cell shown
symmetry = No. 164